[1]
CuReOs2 | Alexandria | GGA-PBE | optimized geometry; volume = 58.0 Å³/cell; electronic total energy = -9.217 eV per atom; ΔH_f (0 K) = 0.534 eV per atom; offset from the most stable computed form = 354 meV per atom
1.0
2.667 0.011 0.000
-1.211 2.377 0.000
0.000 0.000 9.123
Cu Os Re
1 2 1
direct
0.500 0.500 0.750 Cu
0.000 0.000 0.998 Os
0.500 0.500 0.252 Os
0.000 0.000 0.501 Re

[2]
Ti2VOs | Alexandria | GGA-PBE | optimized geometry; volume = 120.0 Å³/cell; electronic total energy = -9.302 eV per atom; ΔH_f (0 K) = -0.268 eV per atom
1.0
-0.200 2.824 1.242
-1.907 -1.675 3.502
9.939 0.557 0.338
Ti V Os
4 2 2
direct
0.750 0.867 0.867 Ti
0.250 0.133 0.133 Ti
0.750 0.128 0.628 Ti
0.250 0.872 0.372 Ti
0.750 0.391 0.391 V
0.250 0.609 0.609 V
0.750 0.623 0.123 Os
0.250 0.377 0.877 Os

[3]
ZnH2Cl4 | Alexandria | GGA-PBE | optimized geometry; volume = 178.5 Å³/cell; electronic total energy = -2.942 eV per atom
1.0
-0.359 1.298 -7.425
6.020 -1.477 -1.835
-1.344 -4.619 6.718
Zn H Cl
1 2 4
direct
0.067 0.113 0.064 Zn
0.242 0.504 0.055 H
0.504 0.779 0.050 H
0.823 0.785 0.226 Cl
0.372 0.306 0.116 Cl
0.455 0.236 0.612 Cl
0.036 0.778 0.877 Cl

[4]
Dy7Sn4C | Alexandria | GGA-PBE | optimized geometry; volume = 353.4 Å³/cell; electronic total energy = -5.161 eV per atom; ΔH_f (0 K) = -0.373 eV per atom
1.0
5.030 0.000 0.000
2.515 8.837 0.276
2.515 0.751 7.973
Dy Sn C
7 4 1
direct
0.777 0.862 0.584 Dy
0.223 0.138 0.416 Dy
0.063 0.753 0.122 Dy
0.937 0.247 0.878 Dy
0.363 0.547 0.727 Dy
0.500 0.000 0.000 Dy
0.637 0.453 0.273 Dy
0.584 0.218 0.615 Sn
0.416 0.782 0.385 Sn
0.722 0.649 0.907 Sn
0.278 0.351 0.093 Sn
0.000 0.000 0.000 C

[5]
CaCdReB2 | Alexandria | GGA-PBE | optimized geometry; volume = 99.3 Å³/cell; electronic total energy = -3.681 eV per atom; ΔH_f (0 K) = 2.063 eV per atom
1.0
-3.315 -1.266 -2.526
3.379 -2.214 -3.325
-0.265 -3.738 2.221
Re Ca B Cd
1 1 2 1
direct
0.000 0.500 0.000 Re
0.500 0.500 0.500 Ca
0.000 0.000 0.500 B
0.500 0.000 0.000 B
0.000 0.000 0.000 Cd

[6]
LiOF | Alexandria | GGA-PBE | optimized geometry; E_form (uncorrected) = -1873 meV per atom; volume = 80.3 Å³/cell; electronic total energy = -4.787 eV per atom; offset from the most stable computed form = 0 meV per atom
1.0
3.070 -0.151 -0.800
-1.587 2.844 -0.049
-5.749 1.180 10.805
Li O F
2 2 2
direct
0.721 0.573 0.554 Li
0.700 0.276 0.802 Li
0.575 0.361 0.232 O
0.192 0.168 0.106 O
0.359 0.910 0.540 F
0.366 0.615 0.798 F

[7]
La4GeTe2Pb | Alexandria | GGA-PBE | optimized geometry; E_form (uncorrected) = -1188 meV per atom; volume = 273.9 Å³/cell; electronic total energy = -5.478 eV per atom
1.0
4.568 0.000 0.000
0.000 7.967 -0.172
0.000 2.791 7.465
La Ge Te Pb
4 1 2 1
direct
0.000 0.738 0.744 La
0.000 0.262 0.256 La
0.500 0.730 0.266 La
0.500 0.270 0.734 La
0.000 0.500 0.500 Ge
0.000 0.000 0.000 Te
0.500 0.000 0.500 Te
0.500 0.500 0.000 Pb

[8]
LiCaPrCd | Alexandria | GGA-PBE | optimized geometry; volume = 114.5 Å³/cell; electronic total energy = -2.577 eV per atom; ΔH_f (0 K) = -0.174 eV per atom
1.0
-0.740 3.781 -3.856
-2.218 -1.383 -4.783
-5.036 1.666 -1.252
Pr Ca Li Cd
1 1 1 1
direct
0.500 0.500 0.500 Pr
0.000 0.000 0.000 Ca
0.250 0.250 0.250 Li
0.750 0.750 0.750 Cd